No. 1
A plane-wave DFT calculation with PBE-GGA was carried out for a geometry-optimized Zr4CoPC2 structure.

Properties
DFT total energy (eV per cell): -70.67

The structure in POSCAR format:
```
Zr4CoPC2
1.0
3.389 0.000 0.000
-1.695 2.935 0.000
0.000 0.000 12.590
Zr Co P C
4 1 1 2
Cartesian
0.000 0.000 1.809
0.000 0.000 10.782
1.695 0.978 4.419
1.695 0.978 8.171
0.000 0.000 6.295
1.695 0.978 0.000
0.000 1.957 3.090
0.000 1.957 9.500
```

=====

No. 2
A plane-wave DFT calculation with PBE-GGA was carried out for a geometry-optimized SbAuSO structure.

Properties
DFT total energy (eV per cell): -36.11

The structure in POSCAR format:
```
SbAuSO
1.0
3.868 0.000 0.000
0.000 3.868 0.000
0.000 0.000 9.102
Sb Au S O
2 2 2 2
Cartesian
0.967 0.967 1.221
2.901 2.901 7.881
0.967 2.901 4.551
2.901 0.967 4.551
0.967 0.967 6.494
2.901 2.901 2.608
0.967 2.901 0.000
2.901 0.967 0.000
```

=====

No. 3
A plane-wave DFT calculation with PBE-GGA was carried out for a geometry-optimized TaReBiAu structure.

Properties
DFT total energy (eV per cell): -28.86

The structure in POSCAR format:
```
TaReBiAu
1.0
0.000 3.384 3.384
3.384 0.000 3.384
3.384 3.384 0.000
Ta Re Bi Au
1 1 1 1
Cartesian
0.000 0.000 0.000
5.077 5.077 5.077
3.384 3.384 3.384
1.692 1.692 1.692
```

=====

No. 4
A plane-wave DFT calculation with PBE-GGA was carried out for a geometry-optimized SrDy structure.

Properties
DFT total energy (eV per cell): -2.68

The structure in POSCAR format:
```
SrDy
1.0
0.000 4.117 4.117
4.117 0.000 4.117
4.117 4.117 0.000
Sr Dy
1 1
Cartesian
0.000 0.000 0.000
2.059 2.059 2.059
```

=====

No. 5
A plane-wave DFT calculation with PBE-GGA was carried out for a geometry-optimized SmTePO structure.

Properties
DFT total energy (eV per cell): -45.95

The structure in POSCAR format:
```
SmTePO
1.0
4.100 0.000 0.000
0.000 4.100 0.000
0.000 0.000 10.203
Sm Te P O
2 2 2 2
Cartesian
1.025 1.025 1.101
3.075 3.075 9.103
1.025 3.075 5.102
3.075 1.025 5.102
1.025 1.025 7.439
3.075 3.075 2.764
1.025 3.075 0.000
3.075 1.025 0.000
```

=====

No. 6
A plane-wave DFT calculation with PBE-GGA was carried out for a geometry-optimized LaUGe structure.

Properties
DFT total energy (eV per cell): -19.29

The structure in POSCAR format:
```
LaUGe
1.0
0.000 3.494 3.494
3.494 0.000 3.494
3.494 3.494 0.000
La U Ge
1 1 1
Cartesian
0.000 0.000 0.000
5.241 5.241 5.241
3.494 3.494 3.494
```